Record 1
Density functional theory data (GGA-PBE) for a relaxed YPO4 crystal.

Unit cell a=6.985 b=6.985 c=6.068 alpha=90.00 beta=90.00 gamma=90.00
Space group I4_1/amd (No. 141, origin choice 2)
Unique sites:
Y (0.000, 0.250, 0.375) x4
P (0.000, 0.250, 0.875) x4
O (0.000, 0.076, 0.715) x16

Computed properties:
Crystal system = tetragonal
N(E_F) = 0.00 states/eV per cell
Formation energy without anion corrections = -3019 meV/atom
Total magnetic moment = 0.0 μB/f.u.

=====

Record 2
Density functional theory data (GGA-PBE) for a relaxed AcLaNdSm crystal.

Unit cell a=8.470 b=8.470 c=8.470 alpha=90.00 beta=90.00 gamma=90.00
Space group F-43m (No. 216)
Unique sites:
Ac (0.000, 0.000, 0.000) x4
La (0.000, 0.000, 0.500) x4
Nd (0.250, 0.250, 0.750) x4
Sm (0.250, 0.250, 0.250) x4

Computed properties:
ΔH_f (0 K) = 11 kJ/mol of atoms
Crystal system = cubic
N(E_F) = 36.98 states/eV per cell
Total magnetic moment = 0.0 μB/f.u.

=====

Record 3
Density functional theory data (GGA-PBE) for a relaxed In2TcPt crystal.

Unit cell a=2.953 b=4.242 c=5.806 alpha=90.00 beta=90.00 gamma=90.00
Space group Pmm2 (No. 25)
Unique sites:
In (0.000, 0.000, 0.000) x1
In (0.500, 0.500, 0.321) x1
Tc (0.500, 0.500, 0.810) x1
Pt (0.000, 0.000, 0.524) x1

Computed properties:
ΔH_f (0 K) = 11 kJ/mol of atoms
Crystal system = orthorhombic
N(E_F) = 3.39 states/eV per cell
Total magnetic moment = 0.0 μB/f.u.

=====

Record 4
Density functional theory data (GGA-PBE) for a relaxed CeHo2Sn crystal.

Unit cell a=7.577 b=7.577 c=7.577 alpha=90.00 beta=90.00 gamma=90.00
Space group Fm-3m (No. 225)
Unique sites:
Ce (0.000, 0.000, 0.000) x4
Ho (0.250, 0.250, 0.250) x8
Sn (0.000, 0.000, 0.500) x4

Computed properties:
E above lowest polymorph = 207 meV per atom
ΔH_f (0 K) = -17 kJ/mol of atoms
Crystal system = cubic
N(E_F) = 32.80 states/eV per cell
Total magnetic moment = 1.1 μB/f.u.